Density functional theory data (PBE) for a geometry-optimized CeSc2Cu2Ge2 structure.

Cell: 8.6040 8.6040 8.6040 Å, 29.28 29.28 29.28°
Fractional coordinates of all 7 atoms:
Ce  0.0000  0.0000  0.0000
Sc  0.1348  0.1348  0.1348
Sc  0.8652  0.8652  0.8652
Cu  0.4368  0.4368  0.4368
Cu  0.5632  0.5632  0.5632
Ge  0.2568  0.2568  0.2568
Ge  0.7432  0.7432  0.7432

Total energy: -0.2070 Ha/atom
Calculated density: 6190 kg/m3
Energy of formation: -46.8 kJ/mol of atoms